No. 1
TmZn2Pt | PBE | relaxed

Structure (CIF):
```
data_TmZn2Pt
_symmetry_space_group_name_H-M 'P 1'
_symmetry_Int_Tables_number 1
_cell_length_a 4.359
_cell_length_b 5.728
_cell_length_c 5.880
_cell_angle_alpha 90.00
_cell_angle_beta 90.00
_cell_angle_gamma 90.00
loop_
_symmetry_equiv_pos_as_xyz
'x,y,z'
loop_
_atom_site_label
_atom_site_type_symbol
_atom_site_fract_x
_atom_site_fract_y
_atom_site_fract_z
Tm1 Tm 0.250 0.250 0.079
Tm2 Tm 0.750 0.750 0.921
Zn1 Zn 0.250 0.003 0.629
Zn2 Zn 0.250 0.497 0.629
Zn3 Zn 0.750 0.503 0.371
Zn4 Zn 0.750 0.997 0.371
Pt1 Pt 0.250 0.750 0.246
Pt2 Pt 0.750 0.250 0.754
```

---

No. 2
Ta2CrP | PBE | relaxed

Structure (CIF):
```
data_Ta2CrP
_symmetry_space_group_name_H-M 'P 1'
_symmetry_Int_Tables_number 1
_cell_length_a 3.266
_cell_length_b 3.932
_cell_length_c 4.957
_cell_angle_alpha 90.00
_cell_angle_beta 109.20
_cell_angle_gamma 90.00
loop_
_symmetry_equiv_pos_as_xyz
'x,y,z'
loop_
_atom_site_label
_atom_site_type_symbol
_atom_site_fract_x
_atom_site_fract_y
_atom_site_fract_z
Ta1 Ta 0.000 0.000 0.000
Ta2 Ta 0.289 0.500 0.577
Cr1 Cr 0.562 0.500 0.120
P1 P 0.721 0.000 0.441
```

---

No. 3
PuNbCo10 | PBE | relaxed

Structure (CIF):
```
data_PuNbCo10
_symmetry_space_group_name_H-M 'P 1'
_symmetry_Int_Tables_number 1
_cell_length_a 3.970
_cell_length_b 4.742
_cell_length_c 8.282
_cell_angle_alpha 90.00
_cell_angle_beta 90.00
_cell_angle_gamma 90.00
loop_
_symmetry_equiv_pos_as_xyz
'x,y,z'
loop_
_atom_site_label
_atom_site_type_symbol
_atom_site_fract_x
_atom_site_fract_y
_atom_site_fract_z
Pu1 Pu 0.000 0.000 0.000
Nb1 Nb 0.000 0.500 0.500
Co1 Co 0.000 0.000 0.341
Co2 Co 0.000 0.000 0.659
Co3 Co 0.000 0.500 0.177
Co4 Co 0.000 0.500 0.823
Co5 Co 0.500 0.000 0.500
Co6 Co 0.500 0.254 0.257
Co7 Co 0.500 0.254 0.743
Co8 Co 0.500 0.500 0.000
Co9 Co 0.500 0.746 0.257
Co10 Co 0.500 0.746 0.743
```

---

No. 4
Mg6Cd5Ag | PBE | relaxed

Structure (CIF):
```
data_Mg6Cd5Ag
_symmetry_space_group_name_H-M 'P 1'
_symmetry_Int_Tables_number 1
_cell_length_a 5.114
_cell_length_b 6.551
_cell_length_c 7.771
_cell_angle_alpha 90.00
_cell_angle_beta 104.10
_cell_angle_gamma 90.00
loop_
_symmetry_equiv_pos_as_xyz
'x,y,z'
loop_
_atom_site_label
_atom_site_type_symbol
_atom_site_fract_x
_atom_site_fract_y
_atom_site_fract_z
Mg1 Mg 0.000 0.244 0.000
Mg2 Mg 0.000 0.756 0.000
Mg3 Mg 0.372 0.246 0.677
Mg4 Mg 0.372 0.754 0.677
Mg5 Mg 0.628 0.246 0.323
Mg6 Mg 0.628 0.754 0.323
Cd1 Cd 0.135 0.000 0.339
Cd2 Cd 0.136 0.500 0.339
Cd3 Cd 0.500 0.500 0.000
Cd4 Cd 0.864 0.500 0.661
Cd5 Cd 0.865 0.000 0.661
Ag1 Ag 0.500 0.000 0.000
```

---

no.,E_form (eV per atom),magnetization (μB per cell)
1,-0.733,0.0
2,-0.348,0.0
3,0.003,7.9
4,-0.118,0.0